No. 1
Entry from the Alexandria database: a relaxed structure of BaLa3Ni2O8 (PBEsol).

Structure (POSCAR):
```
BaLa3Ni2O8
1.0
5.418 0.000 0.000
0.000 2.706 6.282
0.000 -2.706 6.282
Ba La Ni O
1 3 2 8
Cartesian
0.000 0.000 0.000
0.000 0.000 3.492
2.709 0.000 6.393
2.709 0.000 9.836
0.000 0.000 8.075
2.709 0.000 1.760
0.000 0.000 5.900
0.000 0.000 10.033
1.397 -1.319 8.164
1.397 1.319 8.164
2.709 0.000 4.039
2.709 0.000 12.197
4.020 -1.319 8.164
4.020 1.319 8.164
```

Values from the calculation:
Uncorrected formation energy (eV per atom): -2.499

---

No. 2
Entry from the Alexandria database: a relaxed structure of CaBe2P2O8 (PBEsol).

Structure (POSCAR):
```
CaBe2P2O8
1.0
7.791 0.000 0.000
0.000 8.793 0.000
-0.068 0.000 8.314
Ca Be P O
4 8 8 32
Cartesian
1.880 0.754 3.204
1.846 3.642 7.361
5.877 5.151 0.953
5.843 8.039 5.110
0.486 0.684 6.372
0.520 3.712 2.215
3.324 6.103 3.697
3.290 7.087 7.854
4.433 1.706 0.460
4.399 2.690 4.616
7.203 5.081 6.099
7.237 8.109 1.942
0.447 6.134 3.671
0.413 7.056 7.828
3.371 0.720 6.330
3.405 3.677 2.173
4.318 5.117 6.141
4.352 8.073 1.984
7.310 1.737 0.486
7.276 2.659 4.643
0.033 0.780 1.598
-0.001 3.617 5.755
0.394 5.592 7.301
0.428 7.598 3.144
0.472 1.685 7.638
0.506 2.712 3.481
1.837 5.736 4.140
1.803 7.454 8.297
1.963 0.682 5.674
1.997 3.715 1.517
3.323 1.701 7.512
3.357 2.696 3.355
3.339 5.565 7.257
3.373 7.625 3.100
3.825 0.661 1.566
3.791 3.736 5.723
3.932 5.057 2.591
3.898 8.132 6.748
4.350 1.169 5.214
4.384 3.228 1.057
4.366 6.097 4.959
4.400 7.093 0.802
5.726 5.078 6.797
5.760 8.112 2.640
5.920 1.339 0.017
5.886 3.058 4.174
7.217 6.082 4.833
7.251 7.108 0.676
7.295 1.195 5.170
7.329 3.201 1.013
7.724 5.176 2.559
7.690 8.014 6.716
```

Values from the calculation:
Uncorrected formation energy (eV per atom): -2.714

---

No. 3
Entry from the Alexandria database: a relaxed structure of TcRu (PBEsol).

Structure (POSCAR):
```
TcRu
1.0
2.704 0.000 0.000
-1.352 2.342 0.000
0.000 0.000 8.592
Tc Ru
2 2
Cartesian
0.000 1.561 1.103
1.352 0.781 7.489
0.000 1.561 5.367
1.352 0.781 3.225
```

Values from the calculation:
E above lowest polymorph (meV/atom): 39.2

---

No. 4
Entry from the Alexandria database: a relaxed structure of TaZn2Re (PBEsol).

Structure (POSCAR):
```
TaZn2Re
1.0
2.649 0.000 0.000
0.000 4.140 0.000
0.000 0.000 5.509
Ta Zn Re
1 2 1
Cartesian
0.000 0.000 0.000
0.000 0.000 2.764
1.324 2.070 1.515
1.324 2.070 4.218
```

Values from the calculation:
E above lowest polymorph (meV/atom): 89.2

---

No. 5
Entry from the Alexandria database: a relaxed structure of ZnFeOs (PBEsol).

Structure (POSCAR):
```
ZnFeOs
1.0
0.000 2.808 2.808
2.808 0.000 2.808
2.808 2.808 0.000
Zn Fe Os
1 1 1
Cartesian
0.000 0.000 0.000
2.808 2.808 2.808
1.404 1.404 1.404
```

---

No. 6
Entry from the Alexandria database: a relaxed structure of TcPtW2 (PBEsol).

Structure (POSCAR):
```
TcPtW2
1.0
-1.964 1.964 3.875
1.964 -1.964 3.875
1.964 1.964 -3.875
Tc Pt W
1 1 2
Cartesian
0.000 0.000 0.000
0.000 0.000 3.875
1.964 0.000 1.937
0.000 1.964 1.937
```

Values from the calculation:
E above lowest polymorph (meV/atom): 14.0

---

No. 7
Entry from the Alexandria database: a relaxed structure of NiMoPt2Br (PBEsol).

Structure (POSCAR):
```
NiMoPt2Br
1.0
4.802 0.000 0.000
0.000 4.802 0.000
0.000 0.000 4.703
Ni Mo Pt Br
1 1 2 1
Cartesian
0.000 0.000 0.000
2.401 2.401 2.351
0.000 2.401 2.351
2.401 0.000 2.351
2.401 2.401 0.000
```

Values from the calculation:
Uncorrected formation energy (eV per atom): 1.409

---

No. 8
Entry from the Alexandria database: a relaxed structure of FeNiPt2 (PBEsol).

Structure (POSCAR):
```
FeNiPt2
1.0
4.422 -1.343 0.000
4.422 1.343 0.000
-0.938 0.000 4.427
Fe Ni Pt
1 1 2
Cartesian
0.000 0.000 0.000
1.624 0.000 3.284
4.028 0.000 2.286
6.426 0.000 1.002
```

---

Let's list D(E_F) in order: 3.2; 0.0; 1.7; 2.0; 1.2; 3.1; 9.6; 5.2 states/eV/f.u..
Let's list E_tot in order: -107.48; -395.95; -43.02; -28.34; -20.57; -46.32; -26.68; -29.49 eV/cell.
Let's list magnetic moment in order: 0.47; 0.00; 0.00; 0.00; 0.00; 0.00; 0.94; 4.28 μB/cell.